Record 1
# PaTi2Pb

A geometry-optimized PaTi2Pb structure (PBE, Alexandria via LeMat-Bulk).

Cell lengths 3.5403, 3.5403, 6.6045 Å; angles 90.00, 90.00, 90.00 degrees
Space group P4/mmm (No. 123)
Asymmetric unit:
1 Pa 0.0000 0.0000 0.0000 [1 per cell]
2 Ti 0.5000 0.5000 0.2286 [2 per cell]
3 Pb 0.0000 0.0000 0.5000 [1 per cell]

Output
ΔH_f (0 K) in kcal/mol of atoms: 0.84
Density of states at the Fermi level in states/eV/atom: 1.28
Magnetic moment in μB per formula unit: 0.00
Energy above the most stable polymorph in this dataset in meV per atom: 51

***

Record 2
# YTa2Se

A geometry-optimized YTa2Se structure (PBE, Alexandria via LeMat-Bulk).

Cell lengths 3.4236, 3.4236, 7.1239 Å; angles 90.00, 90.00, 90.00 degrees
Space group P4mm (No. 99)
Asymmetric unit:
1 Y 0.0000 0.0000 0.0000 [1 per cell]
2 Ta 0.0000 0.0000 0.5108 [1 per cell]
3 Ta 0.5000 0.5000 0.7170 [1 per cell]
4 Se 0.5000 0.5000 0.3089 [1 per cell]

Output
Density of states at the Fermi level in states/eV/atom: 0.98
Magnetic moment in μB per formula unit: 0.00
Raw formation energy in kJ/mol of atoms: -19.1

***

Record 3
# Ho4NiBr5

A geometry-optimized Ho4NiBr5 structure (PBE, Alexandria via LeMat-Bulk).

Cell lengths 20.9160, 3.9138, 8.3878 Å; angles 90.00, 90.46, 90.00 degrees
Space group C2/m (No. 12)
Asymmetric unit:
1 Ho 0.0001 0.0000 0.2125 [4 per cell]
2 Ho 0.1238 0.5000 0.0024 [4 per cell]
3 Ni 0.0000 0.5000 0.0000 [2 per cell]
4 Br 0.0000 0.5000 0.5000 [2 per cell]
5 Br 0.1524 0.0000 0.2441 [4 per cell]
6 Br 0.1528 0.0000 0.7620 [4 per cell]

Output
Density of states at the Fermi level in states/eV/atom: 0.29
Magnetic moment in μB per formula unit: 0.00
Raw formation energy in kJ/mol of atoms: -127.5
Energy above the most stable polymorph in this dataset in meV per atom: 29

***

Record 4
# SrTeOs2

A geometry-optimized SrTeOs2 structure (PBE, Alexandria via LeMat-Bulk).

Cell lengths 3.1067, 5.2596, 10.3136 Å; angles 90.00, 90.00, 90.00 degrees
Space group Imm2 (No. 44)
Asymmetric unit:
1 Sr 0.0000 0.0000 0.0000 [2 per cell]
2 Te 0.0000 0.5000 0.2161 [2 per cell]
3 Os 0.0000 0.0000 0.4966 [2 per cell]
4 Os 0.0000 0.5000 0.7958 [2 per cell]

Output
Density of states at the Fermi level in states/eV/atom: 1.21
Magnetic moment in μB per formula unit: 0.00
Raw formation energy in kJ/mol of atoms: 66.4
Energy above the most stable polymorph in this dataset in meV per atom: 584

***

Record 5
# CeAl2Zn4Au

A geometry-optimized CeAl2Zn4Au structure (PBE, Alexandria via LeMat-Bulk).

Cell lengths 4.3849, 4.3849, 26.3053 Å; angles 90.00, 90.00, 120.00 degrees
Space group R-3m (No. 166, hexagonal axes)
Asymmetric unit:
1 Ce 0.0000 0.0000 0.0000 [3 per cell]
2 Al 0.0000 0.0000 0.2538 [6 per cell]
3 Zn 0.0000 0.0000 0.1261 [6 per cell]
4 Zn 0.0000 0.0000 0.3975 [6 per cell]
5 Au 0.0000 0.0000 0.5000 [3 per cell]

Output
ΔH_f (0 K) in kcal/mol of atoms: -4.78
Density of states at the Fermi level in states/eV/atom: 0.58
Magnetic moment in μB per formula unit: 0.17

***

Record 6
# SrTcRu3

A geometry-optimized SrTcRu3 structure (PBE, Alexandria via LeMat-Bulk).

Cell lengths 4.7327, 4.7327, 4.7327 Å; angles 90.00, 90.00, 90.00 degrees
Space group Pm-3m (No. 221)
Asymmetric unit:
1 Sr 0.0000 0.0000 0.0000 [1 per cell]
2 Tc 0.5000 0.5000 0.5000 [1 per cell]
3 Ru 0.0000 0.5000 0.5000 [3 per cell]

Output
ΔH_f (0 K) in kcal/mol of atoms: 21.61
Density of states at the Fermi level in states/eV/atom: 1.42
Magnetic moment in μB per formula unit: 0.00
Energy above the most stable polymorph in this dataset in meV per atom: 0

***

Record 7
# Ce5PaTc6

A geometry-optimized Ce5PaTc6 structure (PBE, Alexandria via LeMat-Bulk).

Cell lengths 4.9791, 6.8639, 8.3046 Å; angles 112.56, 107.40, 90.05 degrees
Space group P-1 (No. 2)
Asymmetric unit:
1 Ce 0.0000 0.0000 0.0000 [1 per cell]
2 Ce 0.3310 0.3240 0.6616 [2 per cell]
3 Ce 0.3346 0.8366 0.6683 [2 per cell]
4 Pa 0.0000 0.5000 0.0000 [1 per cell]
5 Tc 0.1342 0.8731 0.2703 [2 per cell]
6 Tc 0.1625 0.4219 0.3257 [2 per cell]
7 Tc 0.4853 0.7224 0.9711 [2 per cell]

Output
ΔH_f (0 K) in kcal/mol of atoms: -1.32
Density of states at the Fermi level in states/eV/atom: 0.94
Magnetic moment in μB per formula unit: 0.00

***

Record 8
# BaSr2BiPt

A geometry-optimized BaSr2BiPt structure (PBE, Alexandria via LeMat-Bulk).

Cell lengths 5.8304, 5.8304, 6.0108 Å; angles 90.00, 90.00, 90.00 degrees
Space group P4/mmm (No. 123)
Asymmetric unit:
1 Ba 0.0000 0.0000 0.0000 [1 per cell]
2 Sr 0.0000 0.5000 0.5000 [2 per cell]
3 Bi 0.5000 0.5000 0.0000 [1 per cell]
4 Pt 0.0000 0.0000 0.5000 [1 per cell]

Output
ΔH_f (0 K) in kcal/mol of atoms: -15.37
Density of states at the Fermi level in states/eV/atom: 0.64
Magnetic moment in μB per formula unit: 0.00